# Dy2Ga3Ni

Dy2Ga3Ni at its PBEsol-relaxed geometry (SCAN, Alexandria).

a b c (Å): 4.235 4.235 7.272
angles (deg): 90.00 90.00 120.00
Atoms (fractional coordinates):
Dy1 0.333 0.667 0.227
Dy2 0.333 0.667 0.766
Ga1 0.667 0.333 0.988
Ga2 0.667 0.333 0.539
Ga3 0.000 0.000 0.453
Ni1 0.000 0.000 0.028

Results
ΔE_f: -0.724 eV per atom
Total magnetization: 0.00 μB per cell
Space group: No. 156
Energy: -27.525 eV per atom
Mass density: 8.71 g/cm³

=====

# LiReSeBr2

LiReSeBr2 at its PBEsol-relaxed geometry (SCAN, Alexandria).

a b c (Å): 4.664 5.275 5.275
angles (deg): 90.00 90.00 90.00
Atoms (fractional coordinates):
Re1 0.000 0.000 0.000
Se1 0.500 0.000 0.000
Br1 0.000 0.000 0.500
Br2 0.000 0.500 0.000
Li1 0.500 0.500 0.500

Results
Energy relative to the elements, uncorrected: 0.001 eV/atom
Total magnetization: 1.21 μB per cell
Space group: No. 123
Energy: -26.496 eV per atom
Mass density: 5.53 g/cm³

=====

# Y2B2W

Y2B2W at its PBEsol-relaxed geometry (SCAN, Alexandria).

a b c (Å): 4.432 4.432 5.315
angles (deg): 114.64 114.64 90.00
Atoms (fractional coordinates):
Y1 0.350 0.350 0.700
Y2 0.650 0.650 0.300
B1 0.250 0.750 0.500
B2 0.750 0.250 0.500
W1 0.000 0.000 0.000

Results
ΔE_f: 1.311 eV per atom
Total magnetization: 0.00 μB per cell
Space group: No. 139
Energy: -26.735 eV per atom
Mass density: 7.55 g/cm³

=====

# Tl2SbIr

Tl2SbIr at its PBEsol-relaxed geometry (SCAN, Alexandria).

a b c (Å): 4.389 4.389 5.463
angles (deg): 113.68 113.68 90.00
Atoms (fractional coordinates):
Ir1 0.500 0.500 0.000
Sb1 0.000 0.000 0.000
Tl1 0.750 0.250 0.500
Tl2 0.250 0.750 0.500

Results
Energy relative to the elements, uncorrected: 0.706 eV/atom
Energy above the most stable polymorph in this dataset: 0.5594 eV per atom
Total magnetization: 0.00 μB per cell
Space group: No. 139
Energy: -62.563 eV per atom
Mass density: 13.86 g/cm³

=====

# SrLiTc2

SrLiTc2 at its PBEsol-relaxed geometry (SCAN, Alexandria).

a b c (Å): 3.316 3.316 6.823
angles (deg): 90.00 90.00 90.00
Atoms (fractional coordinates):
Li1 0.500 0.500 0.000
Sr1 0.500 0.500 0.500
Tc1 0.000 0.000 0.844
Tc2 0.000 0.000 0.156

Results
Energy above the most stable polymorph in this dataset: 0.0168 eV per atom
ΔE_f: 0.731 eV per atom
Total magnetization: 0.00 μB per cell
Space group: No. 123
Energy: -22.965 eV per atom
Mass density: 6.43 g/cm³

=====

# AgMo3O

AgMo3O at its PBEsol-relaxed geometry (SCAN, Alexandria).

a b c (Å): 4.720 4.720 4.720
angles (deg): 90.00 90.00 90.00
Atoms (fractional coordinates):
Mo1 0.000 0.500 0.000
Mo2 0.000 0.000 0.500
Mo3 0.500 0.000 0.000
O1 0.500 0.500 0.500
Ag1 0.000 0.000 0.000

Results
Energy relative to the elements, uncorrected: 3.223 eV/atom
Total magnetization: 0.01 μB per cell
Space group: No. 221
Energy: -25.227 eV per atom
Mass density: 6.50 g/cm³

=====

# Cd2InHg2

Cd2InHg2 at its PBEsol-relaxed geometry (SCAN, Alexandria).

a b c (Å): 4.171 4.171 7.506
angles (deg): 106.13 106.13 90.00
Atoms (fractional coordinates):
In1 0.000 0.000 0.000
Hg1 0.399 0.399 0.798
Hg2 0.601 0.601 0.202
Cd1 0.250 0.750 0.500
Cd2 0.750 0.250 0.500

Results
Energy above the most stable polymorph in this dataset: 0.0361 eV per atom
ΔE_f: 0.064 eV per atom
Total magnetization: 0.00 μB per cell
Space group: No. 139
Energy: -46.046 eV per atom
Mass density: 10.25 g/cm³

=====

# Mn3SbAs

Mn3SbAs at its PBEsol-relaxed geometry (SCAN, Alexandria).

a b c (Å): 4.476 4.476 4.476
angles (deg): 90.00 90.00 90.00
Atoms (fractional coordinates):
Sb1 0.500 0.500 0.500
As1 0.000 0.000 0.000
Mn1 0.000 0.500 0.000
Mn2 0.000 0.000 0.500
Mn3 0.500 0.000 0.000

Results
Energy relative to the elements, uncorrected: 0.218 eV/atom
Total magnetization: 11.20 μB per cell
Space group: No. 221
Energy: -22.225 eV per atom
Mass density: 6.69 g/cm³

=====

# Li2MnCoO4

Li2MnCoO4 at its PBEsol-relaxed geometry (SCAN, Alexandria).

a b c (Å): 4.871 5.834 5.834
angles (deg): 121.15 106.24 73.76
Atoms (fractional coordinates):
Li1 0.252 0.126 0.625
Li2 0.752 0.375 0.874
Li3 0.248 0.625 0.126
Li4 0.748 0.874 0.375
Mn1 0.750 0.371 0.371
Mn2 0.250 0.629 0.629
Co1 0.750 0.896 0.896
Co2 0.250 0.104 0.104
O1 0.490 0.734 0.976
O2 0.990 0.024 0.266
O3 0.010 0.976 0.734
O4 0.510 0.266 0.024
O5 0.500 0.275 0.496
O6 0.000 0.504 0.725
O7 0.000 0.496 0.275
O8 0.500 0.725 0.504

Results
Energy relative to the elements, uncorrected: -1.993 eV/atom
Energy above the most stable polymorph in this dataset: 0.0464 eV per atom
Total magnetization: 12.00 μB per cell
Space group: No. 15
Energy: -10.151 eV per atom
Mass density: 4.74 g/cm³

=====

# MgSb2P

MgSb2P at its PBEsol-relaxed geometry (SCAN, Alexandria).

a b c (Å): 3.687 5.283 5.283
angles (deg): 112.52 90.00 90.00
Atoms (fractional coordinates):
Sb1 0.000 0.773 0.227
Sb2 0.000 0.227 0.773
Mg1 0.500 0.500 0.500
P1 0.500 0.000 0.000

Results
Energy relative to the elements, uncorrected: 0.025 eV/atom
Energy above the most stable polymorph in this dataset: 0.0000 eV per atom
Total magnetization: 0.00 μB per cell
Space group: No. 65
Energy: -22.449 eV per atom
Mass density: 5.22 g/cm³

=====

# Sc3CuS

Sc3CuS at its PBEsol-relaxed geometry (SCAN, Alexandria).

a b c (Å): 4.822 4.822 4.822
angles (deg): 90.00 90.00 90.00
Atoms (fractional coordinates):
Sc1 0.000 0.500 0.000
Sc2 0.000 0.000 0.500
Sc3 0.500 0.000 0.000
S1 0.500 0.500 0.500
Cu1 0.000 0.000 0.000

Results
Energy relative to the elements, uncorrected: -0.113 eV/atom
Total magnetization: 0.00 μB per cell
Space group: No. 221
Energy: -13.621 eV per atom
Mass density: 3.41 g/cm³

=====

# TiGeTe2I

TiGeTe2I at its PBEsol-relaxed geometry (SCAN, Alexandria).

a b c (Å): 5.299 5.299 5.326
angles (deg): 90.00 90.00 90.00
Atoms (fractional coordinates):
I1 0.000 0.000 0.500
Ge1 0.500 0.500 0.500
Te1 0.000 0.500 0.000
Te2 0.500 0.000 0.000
Ti1 0.000 0.000 0.000

Results
Energy relative to the elements, uncorrected: 0.198 eV/atom
Energy above the most stable polymorph in this dataset: 0.0000 eV per atom
Total magnetization: 1.18 μB per cell
Space group: No. 123
Energy: -29.075 eV per atom
Mass density: 5.58 g/cm³

=====

# ReAg3Br

ReAg3Br at its PBEsol-relaxed geometry (SCAN, Alexandria).

a b c (Å): 5.008 5.008 5.008
angles (deg): 90.00 90.00 90.00
Atoms (fractional coordinates):
Re1 0.000 0.000 0.000
Br1 0.500 0.500 0.500
Ag1 0.000 0.500 0.000
Ag2 0.000 0.000 0.500
Ag3 0.500 0.000 0.000

Results
Energy relative to the elements, uncorrected: 1.572 eV/atom
Energy above the most stable polymorph in this dataset: 0.0000 eV per atom
Total magnetization: 2.00 μB per cell
Space group: No. 221
Energy: -35.360 eV per atom
Mass density: 7.80 g/cm³

=====

# TcAgSe

TcAgSe at its PBEsol-relaxed geometry (SCAN, Alexandria).

a b c (Å): 3.405 4.105 4.105
angles (deg): 120.00 90.00 90.00
Atoms (fractional coordinates):
Ag1 0.994 0.000 0.000
Se1 0.532 0.667 0.333
Tc1 0.475 0.333 0.667

Results
Energy relative to the elements, uncorrected: 0.404 eV/atom
Energy above the most stable polymorph in this dataset: 0.1774 eV per atom
Total magnetization: 0.00 μB per cell
Space group: No. 156
Energy: -28.431 eV per atom
Mass density: 9.52 g/cm³

=====

# SrLiN2F

SrLiN2F at its PBEsol-relaxed geometry (SCAN, Alexandria).

a b c (Å): 4.583 4.964 4.964
angles (deg): 90.00 90.00 90.00
Atoms (fractional coordinates):
Sr1 0.000 0.000 0.000
N1 0.000 0.000 0.500
N2 0.000 0.500 0.000
Li1 0.500 0.500 0.500
F1 0.500 0.000 0.000

Results
Energy relative to the elements, uncorrected: 0.049 eV/atom
Total magnetization: 4.00 μB per cell
Space group: No. 123
Energy: -9.308 eV per atom
Mass density: 2.08 g/cm³

=====

# BaNaLi3

BaNaLi3 at its PBEsol-relaxed geometry (SCAN, Alexandria).

a b c (Å): 5.591 5.591 5.591
angles (deg): 90.00 90.00 90.00
Atoms (fractional coordinates):
Na1 0.000 0.000 0.000
Ba1 0.500 0.500 0.500
Li1 0.000 0.500 0.000
Li2 0.000 0.000 0.500
Li3 0.500 0.000 0.000

Results
ΔE_f: 0.187 eV per atom
Total magnetization: 0.00 μB per cell
Space group: No. 221
Energy: -10.000 eV per atom
Mass density: 1.72 g/cm³

=====

# SrH10Pb2Br6O5

SrH10Pb2Br6O5 at its PBEsol-relaxed geometry (SCAN, Alexandria).

a b c (Å): 9.189 9.677 9.677
angles (deg): 102.31 109.13 70.87
Atoms (fractional coordinates):
Sr1 0.250 0.013 0.013
Sr2 0.750 0.987 0.987
H1 0.094 0.334 0.909
H2 0.406 0.909 0.334
H3 0.906 0.666 0.091
H4 0.594 0.091 0.666
H5 0.281 0.291 0.929
H6 0.219 0.929 0.291
H7 0.719 0.709 0.071
H8 0.781 0.071 0.709
H9 0.451 0.880 0.778
H10 0.049 0.778 0.880
H11 0.549 0.120 0.222
H12 0.951 0.222 0.120
H13 0.384 0.047 0.762
H14 0.116 0.762 0.047
H15 0.616 0.953 0.238
H16 0.884 0.238 0.953
H17 0.226 0.325 0.211
H18 0.274 0.211 0.325
H19 0.774 0.675 0.789
H20 0.726 0.789 0.675
Pb1 0.973 0.272 0.564
Pb2 0.527 0.564 0.272
Pb3 0.027 0.728 0.436
Pb4 0.473 0.436 0.728
Br1 0.320 0.173 0.561
Br2 0.180 0.561 0.173
Br3 0.680 0.827 0.439
Br4 0.820 0.439 0.827
Br5 0.890 0.440 0.304
Br6 0.610 0.304 0.440
Br7 0.110 0.560 0.696
Br8 0.390 0.696 0.560
Br9 0.973 0.018 0.315
Br10 0.527 0.315 0.018
Br11 0.027 0.982 0.685
Br12 0.473 0.685 0.982
O1 0.187 0.250 0.895
O2 0.313 0.895 0.250
O3 0.813 0.750 0.105
O4 0.687 0.105 0.750
O5 0.438 0.978 0.837
O6 0.062 0.837 0.978
O7 0.562 0.022 0.163
O8 0.938 0.163 0.022
O9 0.250 0.219 0.219
O10 0.750 0.781 0.781

Results
Total magnetization: 0.00 μB per cell
Space group: No. 15
Energy: -16.057 eV per atom
Mass density: 4.67 g/cm³

=====

# LiVO2F2

LiVO2F2 at its PBEsol-relaxed geometry (SCAN, Alexandria).

a b c (Å): 5.012 7.284 7.028
angles (deg): 101.72 90.00 90.00
Atoms (fractional coordinates):
Li1 0.759 0.331 0.673
Li2 0.741 0.831 0.673
Li3 0.259 0.169 0.327
Li4 0.241 0.669 0.327
V1 0.263 0.163 0.788
V2 0.237 0.663 0.788
V3 0.763 0.337 0.212
V4 0.737 0.837 0.212
O1 0.544 0.076 0.699
O2 0.095 0.190 0.595
O3 0.956 0.576 0.699
O4 0.405 0.690 0.595
O5 0.595 0.310 0.405
O6 0.044 0.424 0.301
O7 0.905 0.810 0.405
O8 0.456 0.924 0.301
F1 0.904 0.287 0.940
F2 0.596 0.787 0.940
F3 0.393 0.432 0.820
F4 0.107 0.932 0.820
F5 0.893 0.068 0.180
F6 0.607 0.568 0.180
F7 0.404 0.213 0.060
F8 0.096 0.713 0.060

Results
Energy relative to the elements, uncorrected: -2.733 eV/atom
Energy above the most stable polymorph in this dataset: 0.0786 eV per atom
Total magnetization: 0.00 μB per cell
Space group: No. 14
Energy: -9.303 eV per atom
Mass density: 3.38 g/cm³

=====

# Cr2SiP

Cr2SiP at its PBEsol-relaxed geometry (SCAN, Alexandria).

a b c (Å): 3.009 3.804 4.629
angles (deg): 114.26 108.96 90.00
Atoms (fractional coordinates):
Cr1 0.001 0.001 0.001
Cr2 0.759 0.259 0.517
P1 0.486 0.486 0.972
Si1 0.254 0.754 0.509

Results
Energy relative to the elements, uncorrected: -0.044 eV/atom
Energy above the most stable polymorph in this dataset: 0.1032 eV per atom
Total magnetization: 0.00 μB per cell
Space group: No. 44
Energy: -14.340 eV per atom
Mass density: 6.00 g/cm³

=====

# Cd2InHg

Cd2InHg at its PBEsol-relaxed geometry (SCAN, Alexandria).

a b c (Å): 4.460 4.436 4.456
angles (deg): 90.00 90.00 90.00
Atoms (fractional coordinates):
In1 0.000 0.500 0.500
Hg1 0.500 0.000 0.500
Cd1 0.000 0.000 0.000
Cd2 0.500 0.500 0.000

Results
Energy above the most stable polymorph in this dataset: 0.0200 eV per atom
ΔE_f: 0.037 eV per atom
Total magnetization: 0.00 μB per cell
Space group: No. 47
Energy: -40.558 eV per atom
Mass density: 10.17 g/cm³